1.
Compound: Mg2ZnFe
Source: Alexandria via LeMat-Bulk
Functional: GGA-PBE
Structure: optimized geometry

Structure (extended XYZ):
```
4
Lattice="2.8530 0.0000 0.0000 0.0000 2.8530 0.0000 0.0000 0.0000 8.0779" Properties=species:S:1:pos:R:3 pbc="T T T"
Mg 0.0000 0.0000 1.9009
Mg 0.0000 0.0000 6.1770
Zn 1.4265 1.4265 4.0389
Fe 1.4265 1.4265 0.0000
```

- ΔH_f (0 K): 0.4 eV per formula unit
- SG: P4/mmm

***

2.
Compound: Mg14ZnFe
Source: Alexandria via LeMat-Bulk
Functional: GGA-PBE
Structure: optimized geometry

Structure (extended XYZ):
```
16
Lattice="6.2044 0.0000 0.0000 -3.1022 5.3732 0.0000 0.0000 0.0000 10.0820" Properties=species:S:1:pos:R:3 pbc="T T T"
Mg 0.0000 0.0000 2.5233
Mg 0.0000 0.0000 7.5588
Mg -1.4998 2.7162 2.4587
Mg -1.4998 2.7162 7.6233
Mg 1.5456 0.8924 0.0000
Mg 1.5563 0.8986 5.0410
Mg 1.4998 2.7162 2.4587
Mg 1.4998 2.7162 7.6233
Mg 0.0000 5.3139 2.4587
Mg 0.0000 5.3139 7.6233
Mg 4.6481 0.8986 5.0410
Mg 3.1022 3.5761 5.0410
Mg 4.6588 0.8924 0.0000
Mg 3.1022 3.5885 0.0000
Zn 0.0000 3.5821 5.0410
Fe 0.0000 3.5821 0.0000
```

- ΔH_f (0 K): 1.0 eV per formula unit
- SG: P-6m2